Computed, not measured: a geometry-optimized Ce2BeCl structure at the PBE level of DFT.

* raw formation energy: -0.470 eV/atom
* Fermi-level density of states: 2.543 states/eV per atom
* symmetry: R-3m, No. 166
* total DFT energy (no corrections): -4.8299 eV per atom
* total moment: 2.12 μB/cell

Lattice parameters (Å, degrees): 4.1584 4.1584 6.8359 72.29 72.29 60.00
Closest atoms and distances in Å follow each position.
Fractional positions:
Ce (0.7480, 0.7480, 0.7561)  3 Be 2.86, 3 Cl 2.91
Cl (0.5000, 0.5000, 0.5000)  6 Ce 2.91
Be (0.0000, 0.0000, 0.0000)  6 Ce 2.86
Ce (0.2520, 0.2520, 0.2439)  3 Be 2.86, 3 Cl 2.91